1.
Computed, not measured: a relaxed structure of SrTlW2 at the PBE level of DFT.

Summary:
space group	F-43m (216)
distance to the lowest polymorph of the same formula	2.41	eV/f.u.
V	84.4	Å³/cell
calculated total energy	-6.353	eV/atom

```
data_SrTlW2
_chemical_formula_sum 'Sr1 Tl1 W2'
_cell_length_a 4.923
_cell_length_b 4.923
_cell_length_c 4.923
_cell_angle_alpha 60.00
_cell_angle_beta 60.00
_cell_angle_gamma 60.00
_symmetry_space_group_name_H-M 'P 1'
_symmetry_Int_Tables_number 1
loop_
_symmetry_equiv_pos_as_xyz
'x,y,z'
loop_
_atom_site_label
_atom_site_fract_x
_atom_site_fract_y
_atom_site_fract_z
Sr1 0.000 0.000 0.000
Tl1 0.250 0.250 0.250
W1 0.500 0.500 0.500
W2 0.750 0.750 0.750
```


2.
Computed, not measured: a relaxed structure of Sr3YTl12 at the PBE level of DFT.

Summary:
space group	P4/mmm (123)
V	481.5	Å³/cell
calculated total energy	-2.741	eV/atom

```
data_Sr3YTl12
_chemical_formula_sum 'Sr3 Y1 Tl12'
_cell_length_a 4.961
_cell_length_b 4.961
_cell_length_c 19.564
_cell_angle_alpha 90.00
_cell_angle_beta 90.00
_cell_angle_gamma 90.00
_symmetry_space_group_name_H-M 'P 1'
_symmetry_Int_Tables_number 1
loop_
_symmetry_equiv_pos_as_xyz
'x,y,z'
loop_
_atom_site_label
_atom_site_fract_x
_atom_site_fract_y
_atom_site_fract_z
Sr1 0.000 0.000 0.000
Sr2 0.000 0.000 0.258
Sr3 0.000 0.000 0.742
Y1 0.000 0.000 0.500
Tl1 0.000 0.500 0.128
Tl2 0.000 0.500 0.383
Tl3 0.000 0.500 0.617
Tl4 0.000 0.500 0.872
Tl5 0.500 0.000 0.128
Tl6 0.500 0.000 0.383
Tl7 0.500 0.000 0.617
Tl8 0.500 0.000 0.872
Tl9 0.500 0.500 0.000
Tl10 0.500 0.500 0.251
Tl11 0.500 0.500 0.500
Tl12 0.500 0.500 0.749
```


3.
Computed, not measured: a relaxed structure of SrY2Tl at the PBE level of DFT.

Summary:
space group	I4/mmm (139)
distance to the lowest polymorph of the same formula	0.67	eV/f.u.
V	128.0	Å³/cell
calculated total energy	-4.231	eV/atom

```
data_SrY2Tl
_chemical_formula_sum 'Sr1 Y2 Tl1'
_cell_length_a 6.165
_cell_length_b 6.165
_cell_length_c 6.165
_cell_angle_alpha 131.69
_cell_angle_beta 131.69
_cell_angle_gamma 70.72
_symmetry_space_group_name_H-M 'P 1'
_symmetry_Int_Tables_number 1
loop_
_symmetry_equiv_pos_as_xyz
'x,y,z'
loop_
_atom_site_label
_atom_site_fract_x
_atom_site_fract_y
_atom_site_fract_z
Sr1 0.000 0.000 0.000
Y1 0.250 0.750 0.500
Y2 0.750 0.250 0.500
Tl1 0.500 0.500 0.000
```


4.
Computed, not measured: a relaxed structure of SrYTl at the PBE level of DFT.

Summary:
space group	P4/nmm (129)
distance to the lowest polymorph of the same formula	0.72	eV/f.u.
V	237.9	Å³/cell
calculated total energy	-3.572	eV/atom

```
data_SrYTl
_chemical_formula_sum 'Sr2 Y2 Tl2'
_cell_length_a 5.468
_cell_length_b 5.468
_cell_length_c 7.958
_cell_angle_alpha 90.00
_cell_angle_beta 90.00
_cell_angle_gamma 90.00
_symmetry_space_group_name_H-M 'P 1'
_symmetry_Int_Tables_number 1
loop_
_symmetry_equiv_pos_as_xyz
'x,y,z'
loop_
_atom_site_label
_atom_site_fract_x
_atom_site_fract_y
_atom_site_fract_z
Sr1 0.250 0.250 0.182
Sr2 0.750 0.750 0.818
Y1 0.250 0.250 0.672
Y2 0.750 0.750 0.328
Tl1 0.250 0.750 0.500
Tl2 0.750 0.250 0.500
```


5.
Computed, not measured: a relaxed structure of SrYTl4 at the PBE level of DFT.

Summary:
space group	F-43m (216)
distance to the lowest polymorph of the same formula	0.86	eV/f.u.
V	182.7	Å³/cell
calculated total energy	-3.057	eV/atom

```
data_SrYTl4
_chemical_formula_sum 'Sr1 Y1 Tl4'
_cell_length_a 6.369
_cell_length_b 6.369
_cell_length_c 6.369
_cell_angle_alpha 60.00
_cell_angle_beta 60.00
_cell_angle_gamma 60.00
_symmetry_space_group_name_H-M 'P 1'
_symmetry_Int_Tables_number 1
loop_
_symmetry_equiv_pos_as_xyz
'x,y,z'
loop_
_atom_site_label
_atom_site_fract_x
_atom_site_fract_y
_atom_site_fract_z
Sr1 0.000 0.000 0.000
Y1 0.250 0.250 0.250
Tl1 0.126 0.625 0.625
Tl2 0.625 0.126 0.625
Tl3 0.625 0.625 0.126
Tl4 0.625 0.625 0.625
```


6.
Computed, not measured: a relaxed structure of SrYTl at the PBE level of DFT.

Summary:
space group	Pmmn (59)
distance to the lowest polymorph of the same formula	0.20	eV/f.u.
V	206.9	Å³/cell
calculated total energy	-3.744	eV/atom

```
data_SrYTl
_chemical_formula_sum 'Sr2 Y2 Tl2'
_cell_length_a 4.175
_cell_length_b 5.243
_cell_length_c 9.450
_cell_angle_alpha 90.00
_cell_angle_beta 90.00
_cell_angle_gamma 90.00
_symmetry_space_group_name_H-M 'P 1'
_symmetry_Int_Tables_number 1
loop_
_symmetry_equiv_pos_as_xyz
'x,y,z'
loop_
_atom_site_label
_atom_site_fract_x
_atom_site_fract_y
_atom_site_fract_z
Sr1 0.250 0.250 0.130
Sr2 0.750 0.750 0.870
Y1 0.250 0.750 0.544
Y2 0.750 0.250 0.456
Tl1 0.250 0.250 0.746
Tl2 0.750 0.750 0.254
```


7.
Computed, not measured: a relaxed structure of SrYTl at the PBE level of DFT.

Summary:
space group	P4/nmm (129)
distance to the lowest polymorph of the same formula	0.05	eV/f.u.
V	214.5	Å³/cell
calculated total energy	-3.794	eV/atom

```
data_SrYTl
_chemical_formula_sum 'Sr2 Y2 Tl2'
_cell_length_a 5.146
_cell_length_b 5.146
_cell_length_c 8.102
_cell_angle_alpha 90.00
_cell_angle_beta 90.00
_cell_angle_gamma 90.00
_symmetry_space_group_name_H-M 'P 1'
_symmetry_Int_Tables_number 1
loop_
_symmetry_equiv_pos_as_xyz
'x,y,z'
loop_
_atom_site_label
_atom_site_fract_x
_atom_site_fract_y
_atom_site_fract_z
Sr1 0.250 0.250 0.141
Sr2 0.750 0.750 0.859
Y1 0.250 0.750 0.500
Y2 0.750 0.250 0.500
Tl1 0.250 0.250 0.727
Tl2 0.750 0.750 0.273
```


8.
Computed, not measured: a relaxed structure of SrYTl at the PBE level of DFT.

Summary:
space group	Cm (8)
distance to the lowest polymorph of the same formula	0.19	eV/f.u.
V	210.0	Å³/cell
calculated total energy	-3.749	eV/atom

```
data_SrYTl
_chemical_formula_sum 'Sr2 Y2 Tl2'
_cell_length_a 9.926
_cell_length_b 9.926
_cell_length_c 5.261
_cell_angle_alpha 105.33
_cell_angle_beta 105.33
_cell_angle_gamma 24.89
_symmetry_space_group_name_H-M 'P 1'
_symmetry_Int_Tables_number 1
loop_
_symmetry_equiv_pos_as_xyz
'x,y,z'
loop_
_atom_site_label
_atom_site_fract_x
_atom_site_fract_y
_atom_site_fract_z
Sr1 0.000 0.000 0.000
Sr2 0.642 0.642 0.641
Y1 0.311 0.311 0.810
Y2 0.837 0.837 0.335
Tl1 0.201 0.201 0.200
Tl2 0.457 0.457 0.458
```


9.
Computed, not measured: a relaxed structure of SrY2Tl2 at the PBE level of DFT.

Summary:
space group	I4/mmm (139)
distance to the lowest polymorph of the same formula	0.54	eV/f.u.
V	168.6	Å³/cell
calculated total energy	-4.056	eV/atom

```
data_SrY2Tl2
_chemical_formula_sum 'Sr1 Y2 Tl2'
_cell_length_a 7.821
_cell_length_b 7.821
_cell_length_c 7.821
_cell_angle_alpha 143.45
_cell_angle_beta 143.45
_cell_angle_gamma 52.64
_symmetry_space_group_name_H-M 'P 1'
_symmetry_Int_Tables_number 1
loop_
_symmetry_equiv_pos_as_xyz
'x,y,z'
loop_
_atom_site_label
_atom_site_fract_x
_atom_site_fract_y
_atom_site_fract_z
Sr1 0.000 0.000 0.000
Y1 0.250 0.750 0.500
Y2 0.750 0.250 0.500
Tl1 0.395 0.395 0.000
Tl2 0.605 0.605 0.000
```


10.
Computed, not measured: a relaxed structure of SrY2Tl at the PBE level of DFT.

Summary:
space group	F-43m (216)
distance to the lowest polymorph of the same formula	0.88	eV/f.u.
V	131.0	Å³/cell
calculated total energy	-4.179	eV/atom

```
data_SrY2Tl
_chemical_formula_sum 'Sr1 Y2 Tl1'
_cell_length_a 5.701
_cell_length_b 5.701
_cell_length_c 5.701
_cell_angle_alpha 60.00
_cell_angle_beta 60.00
_cell_angle_gamma 60.00
_symmetry_space_group_name_H-M 'P 1'
_symmetry_Int_Tables_number 1
loop_
_symmetry_equiv_pos_as_xyz
'x,y,z'
loop_
_atom_site_label
_atom_site_fract_x
_atom_site_fract_y
_atom_site_fract_z
Sr1 0.000 0.000 0.000
Y1 0.500 0.500 0.500
Y2 0.750 0.750 0.750
Tl1 0.250 0.250 0.250
```